1.
Material: Pm6Y8Sc
Method: DFT, PBE
State: optimized geometry

Cell lengths 8.1685, 8.1685, 8.1685 Å; angles 73.68, 73.68, 73.68 degrees
Closest atoms and distances in Å follow each position.
Sites, in units of the cell vectors:
Pm: 0.0726 0.6185 0.2799  2 Y 3.12-3.31, 1 Sc 3.32, 2 Pm 3.33
Pm: 0.2799 0.0726 0.6185  2 Y 3.12-3.31, 1 Sc 3.32, 2 Pm 3.33
Pm: 0.3815 0.7201 0.9274  2 Y 3.12-3.31, 1 Sc 3.32, 2 Pm 3.33
Pm: 0.6185 0.2799 0.0726  2 Y 3.12-3.31, 1 Sc 3.32, 2 Pm 3.33
Pm: 0.7201 0.9274 0.3815  2 Y 3.12-3.31, 1 Sc 3.32, 2 Pm 3.33
Pm: 0.9274 0.3815 0.7201  2 Y 3.12-3.31, 1 Sc 3.32, 2 Pm 3.33
Y: 0.0722 0.7672 0.6497  3 Pm 3.31-3.56, 4 Y 3.65-3.70, 1 Sc 3.69
Y: 0.2328 0.3503 0.9278  3 Pm 3.31-3.56, 4 Y 3.65-3.70, 1 Sc 3.69
Y: 0.3503 0.9278 0.2328  3 Pm 3.31-3.56, 4 Y 3.65-3.70, 1 Sc 3.69
Y: 0.4119 0.4119 0.4119  1 Y 3.12, 3 Pm 3.12
Y: 0.5881 0.5881 0.5881  1 Y 3.12, 3 Pm 3.12
Y: 0.6497 0.0722 0.7672  3 Pm 3.31-3.56, 4 Y 3.65-3.70, 1 Sc 3.69
Y: 0.7672 0.6497 0.0722  3 Pm 3.31-3.56, 4 Y 3.65-3.70, 1 Sc 3.69
Y: 0.9278 0.2328 0.3503  3 Pm 3.31-3.56, 4 Y 3.65-3.70, 1 Sc 3.69
Sc: 0.0000 0.0000 0.0000  6 Pm 3.32, 6 Y 3.69

## Properties
E_form: 259.5 kJ/mol of formula units
Raw total energy: -83.9 eV/cell
Density: 5513 kg/m3
Total magnetization: 0.0 μB/cell
Energy above the most stable polymorph in this dataset: 65 meV per atom
Symmetry: R-3, No. 148

***

2.
Material: PmY10Sc4
Method: DFT, PBE
State: optimized geometry

Cell lengths 9.3245, 9.3245, 9.3245 Å; angles 97.33, 97.33, 138.15 degrees
Closest atoms and distances in Å follow each position.
Sites, in units of the cell vectors:
Pm: 0.0000 0.0000 0.0000  8 Sc 4.06, 8 Y 4.11
Y: 0.0352 0.8769 0.4030  4 Y 3.09-3.39, 2 Sc 3.17-3.18
Y: 0.1231 0.5261 0.1582  4 Y 3.09-3.39, 2 Sc 3.17-3.18
Y: 0.2500 0.7500 0.5000  6 Y 3.09-3.33
Y: 0.3679 0.9648 0.8418  4 Y 3.09-3.39, 2 Sc 3.17-3.18
Y: 0.4739 0.6321 0.5970  4 Y 3.09-3.39, 2 Sc 3.17-3.18
Y: 0.5261 0.3679 0.4030  4 Y 3.09-3.39, 2 Sc 3.17-3.18
Y: 0.6321 0.0352 0.1582  4 Y 3.09-3.39, 2 Sc 3.17-3.18
Y: 0.7500 0.2500 0.5000  6 Y 3.09-3.33
Y: 0.8769 0.4739 0.8418  4 Y 3.09-3.39, 2 Sc 3.17-3.18
Y: 0.9648 0.1231 0.5970  4 Y 3.09-3.39, 2 Sc 3.17-3.18
Sc: 0.3244 0.5684 0.8928  6 Y 3.17-3.51, 2 Sc 3.28
Sc: 0.4316 0.3244 0.7560  6 Y 3.17-3.51, 2 Sc 3.28
Sc: 0.5684 0.6756 0.2440  6 Y 3.17-3.51, 2 Sc 3.28
Sc: 0.6756 0.4316 0.1072  6 Y 3.17-3.51, 2 Sc 3.28

## Properties
E_form: 848.4 kJ/mol of formula units
Raw total energy: -85.9 eV/cell
Density: 3990 kg/m3
Total magnetization: 0.3 μB/cell
Symmetry: I4/m, No. 87

***

3.
Material: Pm2Y5Sc4
Method: DFT, PBE
State: optimized geometry

Cell lengths 6.8605, 6.8605, 10.2626 Å; angles 120.47, 120.47, 57.72 degrees
Closest atoms and distances in Å follow each position.
Sites, in units of the cell vectors:
Pm: 0.1833 0.1833 0.2526  3 Sc 3.18-3.47, 2 Y 3.34
Pm: 0.8167 0.8167 0.7474  3 Sc 3.18-3.47, 2 Y 3.34
Y: 0.2586 0.7251 0.3304  2 Y 3.09-3.37, 3 Sc 3.18-3.41, 1 Pm 3.34
Y: 0.2749 0.7414 0.6696  2 Y 3.09-3.37, 3 Sc 3.18-3.41, 1 Pm 3.34
Y: 0.5000 0.5000 0.0000  4 Sc 3.18-3.26
Y: 0.7251 0.2586 0.3304  2 Y 3.09-3.37, 3 Sc 3.18-3.41, 1 Pm 3.34
Y: 0.7414 0.2749 0.6696  2 Y 3.09-3.37, 3 Sc 3.18-3.41, 1 Pm 3.34
Sc: 0.2226 0.2226 0.9720  1 Pm 3.18, 5 Y 3.18-3.55, 3 Sc 3.36-3.55
Sc: 0.2304 0.2304 0.6310  7 Y 3.26-3.49, 3 Pm 3.47-3.59, 1 Sc 3.55
Sc: 0.7696 0.7696 0.3690  7 Y 3.26-3.49, 3 Pm 3.47-3.59, 1 Sc 3.55
Sc: 0.7774 0.7774 0.0280  1 Pm 3.18, 5 Y 3.18-3.55, 3 Sc 3.36-3.55

## Properties
E_form: 202.6 kJ/mol of formula units
Raw total energy: -65.0 eV/cell
Density: 4560 kg/m3
Total magnetization: 0.0 μB/cell
Symmetry: C2/m, No. 12

***

4.
Material: Pm12Y6Sc
Method: DFT, PBE
State: optimized geometry

Cell lengths 8.6367, 8.6367, 8.6367 Å; angles 89.47, 89.47, 89.47 degrees
Closest atoms and distances in Å follow each position.
Sites, in units of the cell vectors:
Pm: 0.0197 0.1903 0.3590  4 Pm 3.45-3.67, 1 Sc 3.53, 4 Y 3.54-3.75
Pm: 0.1903 0.3590 0.0197  4 Pm 3.45-3.67, 1 Sc 3.53, 4 Y 3.54-3.75
Pm: 0.2189 0.4644 0.5638  4 Pm 3.34-3.67, 3 Y 3.41-3.50
Pm: 0.3590 0.0197 0.1903  4 Pm 3.45-3.67, 1 Sc 3.53, 4 Y 3.54-3.75
Pm: 0.4362 0.7811 0.5356  4 Pm 3.34-3.67, 3 Y 3.41-3.50
Pm: 0.4644 0.5638 0.2189  4 Pm 3.34-3.67, 3 Y 3.41-3.50
Pm: 0.5356 0.4362 0.7811  4 Pm 3.34-3.67, 3 Y 3.41-3.50
Pm: 0.5638 0.2189 0.4644  4 Pm 3.34-3.67, 3 Y 3.41-3.50
Pm: 0.6410 0.9803 0.8097  4 Pm 3.45-3.67, 1 Sc 3.53, 4 Y 3.54-3.75
Pm: 0.7811 0.5356 0.4362  4 Pm 3.34-3.67, 3 Y 3.41-3.50
Pm: 0.8097 0.6410 0.9803  4 Pm 3.45-3.67, 1 Sc 3.53, 4 Y 3.54-3.75
Pm: 0.9803 0.8097 0.6410  4 Pm 3.45-3.67, 1 Sc 3.53, 4 Y 3.54-3.75
Y: 0.0979 0.7069 0.2609  7 Pm 3.41-3.75, 1 Sc 3.48, 2 Y 3.52
Y: 0.2609 0.0979 0.7069  7 Pm 3.41-3.75, 1 Sc 3.48, 2 Y 3.52
Y: 0.2931 0.7391 0.9021  7 Pm 3.41-3.75, 1 Sc 3.48, 2 Y 3.52
Y: 0.7069 0.2609 0.0979  7 Pm 3.41-3.75, 1 Sc 3.48, 2 Y 3.52
Y: 0.7391 0.9021 0.2931  7 Pm 3.41-3.75, 1 Sc 3.48, 2 Y 3.52
Y: 0.9021 0.2931 0.7391  7 Pm 3.41-3.75, 1 Sc 3.48, 2 Y 3.52
Sc: 0.0000 0.0000 0.0000  6 Y 3.48, 6 Pm 3.53

## Properties
E_form: 257.2 kJ/mol of formula units
Raw total energy: -99.5 eV/cell
Density: 5977 kg/m3
Total magnetization: 0.0 μB/cell
Energy above the most stable polymorph in this dataset: 18 meV per atom
Symmetry: R-3, No. 148

***

5.
Material: Pm4Y5Sc
Method: DFT, PBE
State: optimized geometry

Cell lengths 8.1077, 8.1077, 8.1077 Å; angles 97.52, 97.52, 137.57 degrees
Closest atoms and distances in Å follow each position.
Sites, in units of the cell vectors:
Pm: 0.0000 0.3238 0.3238  5 Y 3.35-3.75, 1 Sc 3.74
Pm: 0.0000 0.6762 0.6762  5 Y 3.35-3.75, 1 Sc 3.74
Pm: 0.3238 0.0000 0.3238  5 Y 3.35-3.75, 1 Sc 3.74
Pm: 0.6762 0.0000 0.6762  5 Y 3.35-3.75, 1 Sc 3.74
Y: 0.2277 0.2277 0.0000  1 Sc 2.76
Y: 0.3335 0.3335 0.6268  1 Sc 3.14, 3 Y 3.30-3.50, 2 Pm 3.35
Y: 0.3335 0.7067 0.0000  1 Sc 3.14, 3 Y 3.30-3.50, 2 Pm 3.35
Y: 0.7067 0.3335 0.0000  1 Sc 3.14, 3 Y 3.30-3.50, 2 Pm 3.35
Y: 0.7067 0.7067 0.3732  1 Sc 3.14, 3 Y 3.30-3.50, 2 Pm 3.35
Sc: 0.7568 0.7568 0.0000  1 Y 2.76

## Properties
E_form: 217.8 kJ/mol of formula units
Raw total energy: -55.4 eV/cell
Density: 5298 kg/m3
Total magnetization: 0.0 μB/cell
Energy above the most stable polymorph in this dataset: 72 meV per atom
Symmetry: I4mm, No. 107

***

6.
Material: Pm4Y3Sc2
Method: DFT, PBE
State: optimized geometry

Cell lengths 7.9369, 7.9369, 7.8761 Å; angles 107.47, 107.47, 36.81 degrees
Closest atoms and distances in Å follow each position.
Sites, in units of the cell vectors:
Pm: 0.0542 0.0542 0.3265  6 Y 3.50-3.61, 2 Sc 3.53-3.54, 4 Pm 3.57-3.61
Pm: 0.2775 0.2775 0.6758  3 Sc 3.43-3.49, 4 Y 3.51-3.62, 5 Pm 3.57-3.63
Pm: 0.7225 0.7225 0.3242  3 Sc 3.43-3.49, 4 Y 3.51-3.62, 5 Pm 3.57-3.63
Pm: 0.9458 0.9458 0.6735  6 Y 3.50-3.61, 2 Sc 3.53-3.54, 4 Pm 3.57-3.61
Y: 0.3865 0.3865 0.3264  3 Sc 3.46-3.49, 2 Y 3.51-3.64, 7 Pm 3.51-3.62
Y: 0.5000 0.5000 0.0000  6 Pm 3.50-3.51, 2 Y 3.51, 4 Sc 3.58
Y: 0.6135 0.6135 0.6736  3 Sc 3.46-3.49, 2 Y 3.51-3.64, 7 Pm 3.51-3.62
Sc: 0.1697 0.1697 0.9993  5 Pm 3.43-3.54, 5 Y 3.46-3.58, 2 Sc 3.48
Sc: 0.8303 0.8303 0.0007  5 Pm 3.43-3.54, 5 Y 3.46-3.58, 2 Sc 3.48

## Properties
E_form: 40.2 kJ/mol of formula units
Raw total energy: -50.6 eV/cell
Density: 5515 kg/m3
Total magnetization: 0.0 μB/cell
Energy above the most stable polymorph in this dataset: 0 meV per atom
Symmetry: C2/m, No. 12

***

7.
Material: PmYSc2
Method: DFT, PBE
State: optimized geometry

Cell lengths 4.9592, 4.9592, 4.6584 Å; angles 90.00, 90.00, 90.00 degrees
Closest atoms and distances in Å follow each position.
Sites, in units of the cell vectors:
Pm: 0.0000 0.0000 0.0000  8 Sc 3.40, 4 Y 3.51
Y: 0.5000 0.5000 0.0000  8 Sc 3.40, 4 Pm 3.51
Sc: 0.0000 0.5000 0.5000  4 Pm 3.40, 4 Y 3.40, 4 Sc 3.51
Sc: 0.5000 0.0000 0.5000  4 Pm 3.40, 4 Y 3.40, 4 Sc 3.51

## Properties
E_form: 22.3 kJ/mol of formula units
Raw total energy: -23.6 eV/cell
Density: 4693 kg/m3
Total magnetization: 0.0 μB/cell
Energy above the most stable polymorph in this dataset: 4 meV per atom
Symmetry: P4/mmm, No. 123

***

8.
Material: Pm6Y8Sc
Method: DFT, PBE
State: optimized geometry

Cell lengths 8.7026, 8.7026, 8.7026 Å; angles 63.07, 63.07, 63.07 degrees
Closest atoms and distances in Å follow each position.
Sites, in units of the cell vectors:
Pm: 0.0425 0.7265 0.6039  4 Y 3.38-3.69, 1 Sc 3.44, 4 Pm 3.57-3.76
Pm: 0.2735 0.3961 0.9575  4 Y 3.38-3.69, 1 Sc 3.44, 4 Pm 3.57-3.76
Pm: 0.3961 0.9575 0.2735  4 Y 3.38-3.69, 1 Sc 3.44, 4 Pm 3.57-3.76
Pm: 0.6039 0.0425 0.7265  4 Y 3.38-3.69, 1 Sc 3.44, 4 Pm 3.57-3.76
Pm: 0.7265 0.6039 0.0425  4 Y 3.38-3.69, 1 Sc 3.44, 4 Pm 3.57-3.76
Pm: 0.9575 0.2735 0.3961  4 Y 3.38-3.69, 1 Sc 3.44, 4 Pm 3.57-3.76
Y: 0.0774 0.0774 0.0774  4 Y 3.22-3.45, 3 Pm 3.43
Y: 0.2185 0.2511 0.6108  3 Pm 3.38-3.69, 5 Y 3.43-3.47, 1 Sc 3.52
Y: 0.2511 0.6108 0.2185  3 Pm 3.38-3.69, 5 Y 3.43-3.47, 1 Sc 3.52
Y: 0.3892 0.7815 0.7489  3 Pm 3.38-3.69, 5 Y 3.43-3.47, 1 Sc 3.52
Y: 0.6108 0.2185 0.2511  3 Pm 3.38-3.69, 5 Y 3.43-3.47, 1 Sc 3.52
Y: 0.7489 0.3892 0.7815  3 Pm 3.38-3.69, 5 Y 3.43-3.47, 1 Sc 3.52
Y: 0.7815 0.7489 0.3892  3 Pm 3.38-3.69, 5 Y 3.43-3.47, 1 Sc 3.52
Y: 0.9226 0.9226 0.9226  4 Y 3.22-3.45, 3 Pm 3.43
Sc: 0.5000 0.5000 0.5000  6 Pm 3.44, 6 Y 3.52

## Properties
E_form: 165.3 kJ/mol of formula units
Raw total energy: -84.8 eV/cell
Density: 5425 kg/m3
Total magnetization: 0.0 μB/cell
Energy above the most stable polymorph in this dataset: 0 meV per atom
Symmetry: R-3, No. 148

***

9.
Material: Pm6YSc
Method: DFT, PBE
State: optimized geometry

Cell lengths 5.0767, 5.0767, 10.1606 Å; angles 90.00, 90.00, 90.00 degrees
Closest atoms and distances in Å follow each position.
Sites, in units of the cell vectors:
Pm: 0.0000 0.0000 0.0000  8 Pm 3.55, 4 Sc 3.59
Pm: 0.0000 0.0000 0.5000  4 Y 3.59, 8 Pm 3.63
Pm: 0.0000 0.5000 0.2444  2 Sc 3.55, 8 Pm 3.55-3.63, 2 Y 3.63
Pm: 0.0000 0.5000 0.7556  2 Sc 3.55, 8 Pm 3.55-3.63, 2 Y 3.63
Pm: 0.5000 0.0000 0.2444  2 Sc 3.55, 8 Pm 3.55-3.63, 2 Y 3.63
Pm: 0.5000 0.0000 0.7556  2 Sc 3.55, 8 Pm 3.55-3.63, 2 Y 3.63
Y: 0.5000 0.5000 0.5000  12 Pm 3.59-3.63
Sc: 0.5000 0.5000 0.0000  12 Pm 3.55-3.59

## Properties
E_form: 21.7 kJ/mol of formula units
Raw total energy: -41.1 eV/cell
Density: 6366 kg/m3
Total magnetization: 0.0 μB/cell
Symmetry: P4/mmm, No. 123

***

10.
Material: Pm2Y12Sc5
Method: DFT, PBE
State: optimized geometry

Cell lengths 9.1526, 9.1526, 8.4030 Å; angles 90.90, 90.90, 57.14 degrees
Closest atoms and distances in Å follow each position.
Sites, in units of the cell vectors:
Pm: 0.2133 0.7867 0.0000  8 Y 3.47-3.80, 2 Sc 3.48, 1 Pm 3.73
Pm: 0.7867 0.2133 0.0000  8 Y 3.47-3.80, 2 Sc 3.48, 1 Pm 3.73
Y: 0.0160 0.6081 0.7760  4 Sc 3.37-3.58, 6 Y 3.39-3.60, 1 Pm 3.53
Y: 0.1674 0.1674 0.8706  1 Sc 3.00
Y: 0.1813 0.5990 0.3877  4 Sc 3.23-3.40, 5 Y 3.36-3.60
Y: 0.3919 0.9840 0.2240  4 Sc 3.37-3.58, 6 Y 3.39-3.60, 1 Pm 3.53
Y: 0.4010 0.8187 0.6123  4 Sc 3.23-3.40, 5 Y 3.36-3.60
Y: 0.4452 0.4452 0.7241  2 Sc 3.21-3.51, 6 Y 3.36-3.47, 2 Pm 3.52
Y: 0.5548 0.5548 0.2759  2 Sc 3.21-3.51, 6 Y 3.36-3.47, 2 Pm 3.52
Y: 0.5990 0.1813 0.3877  4 Sc 3.23-3.40, 5 Y 3.36-3.60
Y: 0.6081 0.0160 0.7760  4 Sc 3.37-3.58, 6 Y 3.39-3.60, 1 Pm 3.53
Y: 0.8187 0.4010 0.6123  4 Sc 3.23-3.40, 5 Y 3.36-3.60
Y: 0.8326 0.8326 0.1294  1 Sc 3.00
Y: 0.9840 0.3919 0.2240  4 Sc 3.37-3.58, 6 Y 3.39-3.60, 1 Pm 3.53
Sc: 0.0000 0.0000 0.5000  4 Y 3.23
Sc: 0.2453 0.2453 0.5485  3 Y 3.00-3.27
Sc: 0.3536 0.3536 0.0597  8 Y 3.21-3.58, 2 Pm 3.48
Sc: 0.6464 0.6464 0.9403  8 Y 3.21-3.58, 2 Pm 3.48
Sc: 0.7547 0.7547 0.4515  3 Y 3.00-3.27

## Properties
E_form: 280.0 kJ/mol of formula units
Raw total energy: -115.8 eV/cell
Density: 4443 kg/m3
Total magnetization: 0.0 μB/cell
Symmetry: C2/m, No. 12